DFT (PBE) results for CaNi6Sn6 after structural relaxation.

Unit cell a=5.439 b=6.951 c=6.951 alpha=77.35 beta=66.97 gamma=66.97
Atoms (fractional coordinates):
Ni 0.500 0.000 0.500
Ni 0.500 0.250 0.750
Ca 0.000 0.000 0.000
Sn 0.000 0.336 0.664
Ni 0.500 0.750 0.250
Sn 0.336 0.664 0.664
Ni 0.000 0.000 0.500
Sn 0.669 0.831 0.831
Ni 0.500 0.500 0.000
Sn 0.664 0.336 0.336
Ni 0.000 0.500 0.000
Sn 0.000 0.664 0.336
Sn 0.331 0.169 0.169

Values from the calculation:
DOS(E_F): 7.97 states/eV per cell
DFT total energy: -4.951 eV/atom
E_form: -282 meV per atom
space-group type: No. 71